Record 1
Material: Sr3CaI
Method: DFT, PBE
State: relaxed

abc: 6.416 6.416 6.416
angles: 90.00 90.00 90.00
Each line ends with the local moment (μB).
Element x y z (fractional)
Sr 0.000 0.000 0.500  0.07
Sr 0.000 0.500 0.000  0.05
Sr 0.500 0.000 0.000  0.04
I 0.000 0.000 0.000  0.01
Ca 0.500 0.500 0.500  0.01

Summary:
The calculation puts the uncorrected energy at -1.920 eV/atom. Its volume is 264.1 Å³/f.u. Its energy above the most stable polymorph in this dataset is 0.0 meV/atom. Its raw formation energy is -0.20 eV per atom. As for the space group: Pm-3m (221). The calculation puts the spin magnetization at 0.187 μB per atom.

=====

Record 2
Material: Sr2CaI6
Method: DFT, PBE
State: relaxed

abc: 8.347 7.800 13.607
angles: 60.60 90.00 90.00
Element x y z (fractional)
Ca 0.000 0.000 0.000
Ca 0.500 0.000 0.500
I 0.941 0.920 0.244
I 0.690 0.616 0.562
I 0.559 0.920 0.744
I 0.184 0.739 0.583
I 0.684 0.261 0.917
I 0.441 0.080 0.256
I 0.316 0.739 0.083
I 0.310 0.384 0.438
I 0.810 0.616 0.062
I 0.816 0.261 0.417
I 0.059 0.080 0.756
I 0.190 0.384 0.938
Sr 0.397 0.326 0.728
Sr 0.103 0.326 0.228
Sr 0.897 0.674 0.772
Sr 0.603 0.674 0.272

Summary:
The calculation puts the uncorrected energy at -3.274 eV/atom. Its volume is 385.9 Å³/f.u. Its energy above the most stable polymorph in this dataset is 32.2 meV/atom. Its raw formation energy is -1.64 eV per atom. As for the space group: P2_1/c (14). The calculation puts the spin magnetization at 0.000 μB per atom.

=====

Record 3
Material: Sr2CaI6
Method: DFT, PBE
State: relaxed

abc: 7.669 7.669 14.653
angles: 90.00 90.00 90.00
Element x y z (fractional)
Ca 0.000 0.000 0.000
Ca 0.500 0.500 0.500
Sr 0.500 0.500 0.834
Sr 0.000 0.000 0.334
Sr 0.500 0.500 0.166
Sr 0.000 0.000 0.666
I 0.806 0.194 0.160
I 0.295 0.295 0.000
I 0.306 0.306 0.660
I 0.205 0.795 0.500
I 0.194 0.806 0.840
I 0.694 0.694 0.660
I 0.705 0.705 0.000
I 0.795 0.205 0.500
I 0.694 0.694 0.340
I 0.306 0.306 0.340
I 0.806 0.194 0.840
I 0.194 0.806 0.160

Summary:
The calculation puts the uncorrected energy at -3.276 eV/atom. Its volume is 430.9 Å³/f.u. Its energy above the most stable polymorph in this dataset is 30.6 meV/atom. Its raw formation energy is -1.65 eV per atom. As for the space group: P4_2/mnm (136). The calculation puts the spin magnetization at 0.000 μB per atom.

=====

Record 4
Material: Sr2CaI6
Method: DFT, PBE
State: relaxed

abc: 8.171 8.171 7.126
angles: 90.00 90.00 120.00
Element x y z (fractional)
Sr 0.667 0.333 0.500
Sr 0.333 0.667 0.500
I 0.000 0.329 0.242
I 0.000 0.671 0.758
I 0.329 0.000 0.242
I 0.671 0.000 0.758
I 0.329 0.329 0.758
I 0.671 0.671 0.242
Ca 0.000 0.000 0.000

Summary:
The calculation puts the uncorrected energy at -3.261 eV/atom. Its volume is 412.0 Å³/f.u. Its energy above the most stable polymorph in this dataset is 45.5 meV/atom. Its raw formation energy is -1.63 eV per atom. As for the space group: P-31m (162). The calculation puts the spin magnetization at 0.000 μB per atom.

=====

Record 5
Material: SrCa3I8
Method: DFT, PBE
State: relaxed

abc: 9.244 9.243 9.430
angles: 119.98 90.00 120.01
Element x y z (fractional)
I 0.251 0.984 0.231
I 0.256 0.513 0.774
I 0.744 0.487 0.226
I 0.251 0.502 0.231
I 0.749 0.016 0.769
I 0.749 0.498 0.769
I 0.267 0.016 0.769
I 0.733 0.984 0.231
Ca 0.500 0.500 0.000
Ca 0.000 0.500 0.000
Ca 0.500 0.000 0.000
Sr 0.000 0.000 0.000

Summary:
The calculation puts the uncorrected energy at -3.316 eV/atom. Its volume is 569.9 Å³/f.u. Its raw formation energy is -1.64 eV per atom. As for the space group: C2/m (12). The calculation puts the spin magnetization at 0.000 μB per atom.

=====

Record 6
Material: SrCaI3
Method: DFT, PBE
State: relaxed

abc: 6.131 6.131 6.131
angles: 90.00 90.00 90.00
Element x y z (fractional)
I 0.500 0.000 0.000
I 0.000 0.500 0.000
I 0.000 0.000 0.500
Sr 0.500 0.500 0.500
Ca 0.000 0.000 0.000

Summary:
The calculation puts the uncorrected energy at -2.847 eV/atom. Its volume is 230.4 Å³/f.u. Its energy above the most stable polymorph in this dataset is 0.0 meV/atom. Its raw formation energy is -1.18 eV per atom. As for the space group: Pm-3m (221). The calculation puts the spin magnetization at 0.076 μB per atom.